[1]
Compound: LaCu2W
Source: the Alexandria database
Functional: PBE-GGA
Structure: relaxed

It has space group Pmmm (No. 47), with a = 2.8992 Å, b = 3.7277 Å, c = 6.7229 Å, α = 90.00°, β = 90.00° and γ = 90.00°. The distinct sites, in fractional coordinates, are La at (0.0000, 0.0000, 0.0000), Cu at (0.5000, 0.5000, 0.3134) and W at (0.0000, 0.0000, 0.5000).

As for the energy above the most stable polymorph in this dataset: 0.0304 eV per atom. For the formation enthalpy at 0 K, the calculation gives 0.39 eV/atom.

***

[2]
Compound: Sn7Os3
Source: the Alexandria database
Functional: PBE-GGA
Structure: relaxed

It has space group Im-3m (No. 229), with a = 9.4898 Å, b = 9.4898 Å, c = 9.4898 Å, α = 90.00°, β = 90.00° and γ = 90.00°. The distinct sites, in fractional coordinates, are Sn at (0.0000, 0.2500, 0.5000), Sn at (0.1607, 0.1607, 0.1607) and Os at (0.0000, 0.0000, 0.3435).

For the formation enthalpy at 0 K, the calculation gives 0.02 eV/atom.

***

[3]
Compound: BaCrOs
Source: the Alexandria database
Functional: PBE-GGA
Structure: relaxed

It has space group P-6m2 (No. 187), with a = 4.0969 Å, b = 4.0969 Å, c = 5.3534 Å, α = 90.00°, β = 90.00° and γ = 120.00°. The distinct sites, in fractional coordinates, are Ba at (0.0000, 0.0000, 0.0000), Cr at (0.3333, 0.6667, 0.5000) and Os at (0.6667, 0.3333, 0.5000).

As for the energy above the most stable polymorph in this dataset: 0.0000 eV per atom. For the formation enthalpy at 0 K, the calculation gives 0.63 eV/atom.

***

[4]
Compound: ZnCr
Source: the Alexandria database
Functional: PBE-GGA
Structure: relaxed

It has space group Imma (No. 74), with a = 2.9637 Å, b = 4.3190 Å, c = 8.1886 Å, α = 90.00°, β = 90.00° and γ = 90.00°. The distinct sites, in fractional coordinates, are Zn at (0.0000, 0.2500, 0.1208) and Cr at (0.0000, 0.2500, 0.6508).

For the formation enthalpy at 0 K, the calculation gives 0.18 eV/atom.

***

[5]
Compound: Na2DyErTe4
Source: the Alexandria database
Functional: PBE-GGA
Structure: relaxed

It has space group P2/m (No. 10), with a = 7.6401 Å, b = 4.4142 Å, c = 7.9825 Å, α = 90.00°, β = 108.59° and γ = 90.00°. The distinct sites, in fractional coordinates, are Na at (0.0000, 0.0000, 0.0000), Na at (0.5000, 0.5000, 0.0000), Dy at (0.0000, 0.5000, 0.5000), Er at (0.5000, 0.0000, 0.5000), Te at (0.2453, 0.0000, 0.7314) and Te at (0.2583, 0.5000, 0.2695).

The value obtained for the raw formation energy is -1310 meV/atom.

***

[6]
Compound: Sn3F
Source: the Alexandria database
Functional: PBE-GGA
Structure: relaxed

It has space group Pm-3m (No. 221), with a = 4.5367 Å, b = 4.5367 Å, c = 4.5367 Å, α = 90.00°, β = 90.00° and γ = 90.00°. The distinct sites, in fractional coordinates, are Sn at (0.0000, 0.0000, 0.5000) and F at (0.5000, 0.5000, 0.5000).

The value obtained for the raw formation energy is -437 meV/atom. As for the energy above the most stable polymorph in this dataset: 0.1815 eV per atom.

***

[7]
Compound: MnGaAs2
Source: the Alexandria database
Functional: PBE-GGA
Structure: relaxed

It has space group R-3m (No. 166, hexagonal axes), with a = 3.5655 Å, b = 3.5655 Å, c = 23.9948 Å, α = 90.00°, β = 90.00° and γ = 120.00°. The distinct sites, in fractional coordinates, are Mn at (0.0000, 0.0000, 0.0000), Ga at (0.0000, 0.0000, 0.5000) and As at (0.0000, 0.0000, 0.1014).

For the formation enthalpy at 0 K, the calculation gives 0.41 eV/atom.

***

[8]
Compound: HgSe
Source: the Alexandria database
Functional: PBE-GGA
Structure: relaxed

It has space group P6_3/mmc (No. 194), with a = 4.0160 Å, b = 4.0160 Å, c = 7.1105 Å, α = 90.00°, β = 90.00° and γ = 120.00°. The distinct sites, in fractional coordinates, are Hg at (0.3333, 0.6667, 0.2500) and Se at (0.0000, 0.0000, 0.0000).

The value obtained for the raw formation energy is 49 meV/atom.

***

[9]
Compound: Ti2FePt
Source: the Alexandria database
Functional: PBE-GGA
Structure: relaxed

It has space group P4/mmm (No. 123), with a = 4.2402 Å, b = 4.2402 Å, c = 3.2778 Å, α = 90.00°, β = 90.00° and γ = 90.00°. The distinct sites, in fractional coordinates, are Ti at (0.0000, 0.5000, 0.0000), Fe at (0.0000, 0.0000, 0.5000) and Pt at (0.5000, 0.5000, 0.5000).

For the formation enthalpy at 0 K, the calculation gives -0.58 eV/atom.

***

[10]
Compound: FeAg2MoN
Source: the Alexandria database
Functional: PBE-GGA
Structure: relaxed

It has space group P4/mmm (No. 123), with a = 5.2083 Å, b = 5.2083 Å, c = 3.7734 Å, α = 90.00°, β = 90.00° and γ = 90.00°. The distinct sites, in fractional coordinates, are Fe at (0.0000, 0.0000, 0.0000), Ag at (0.0000, 0.5000, 0.5000), Mo at (0.5000, 0.5000, 0.5000) and N at (0.5000, 0.5000, 0.0000).

The value obtained for the raw formation energy is 1279 meV/atom.

***

[11]
Compound: La2Pm2Th
Source: the Alexandria database
Functional: PBE-GGA
Structure: relaxed

It has space group R-3m (No. 166, hexagonal axes), with a = 3.6777 Å, b = 3.6777 Å, c = 44.5460 Å, α = 90.00°, β = 90.00° and γ = 120.00°. The distinct sites, in fractional coordinates, are La at (0.0000, 0.0000, 0.1331), Pm at (0.0000, 0.0000, 0.3966) and Th at (0.0000, 0.0000, 0.0000).

As for the energy above the most stable polymorph in this dataset: 0.0000 eV per atom. For the formation enthalpy at 0 K, the calculation gives 0.01 eV/atom.

***

[12]
Compound: TcNiRu
Source: the Alexandria database
Functional: PBE-GGA
Structure: relaxed

It has space group P-1 (No. 2), with a = 2.6587 Å, b = 5.3296 Å, c = 5.9056 Å, α = 103.00°, β = 102.96° and γ = 90.05°. The distinct sites, in fractional coordinates, are Tc at (0.1614, 0.0813, 0.3264), Ni at (0.4999, 0.2527, 0.9990) and Ru at (0.1679, 0.5844, 0.3345).

As for the energy above the most stable polymorph in this dataset: 0.0654 eV per atom. For the formation enthalpy at 0 K, the calculation gives 0.08 eV/atom.

***

[13]
Compound: MgZn9Cd2
Source: the Alexandria database
Functional: PBE-GGA
Structure: relaxed

It has space group R-3m (No. 166, hexagonal axes), with a = 5.2073 Å, b = 5.2073 Å, c = 25.9345 Å, α = 90.00°, β = 90.00° and γ = 120.00°. The distinct sites, in fractional coordinates, are Mg at (0.0000, 0.0000, 0.0000), Zn at (0.0000, 0.0000, 0.3333), Zn at (0.0000, 0.0000, 0.5000), Zn at (0.0029, 0.5014, 0.9163) and Cd at (0.0000, 0.0000, 0.1372).

For the formation enthalpy at 0 K, the calculation gives 0.01 eV/atom.

***

[14]
Compound: LaPmNi2
Source: the Alexandria database
Functional: PBE-GGA
Structure: relaxed

It has space group Fm-3m (No. 225), with a = 7.0193 Å, b = 7.0193 Å, c = 7.0193 Å, α = 90.00°, β = 90.00° and γ = 90.00°. The distinct sites, in fractional coordinates, are La at (0.0000, 0.0000, 0.0000), Pm at (0.0000, 0.0000, 0.5000) and Ni at (0.2500, 0.2500, 0.2500).

As for the energy above the most stable polymorph in this dataset: 0.1006 eV per atom. For the formation enthalpy at 0 K, the calculation gives -0.24 eV/atom.

***

[15]
Compound: AcAsS4
Source: the Alexandria database
Functional: PBE-GGA
Structure: relaxed

It has space group P2_1/m (No. 11), with a = 6.0180 Å, b = 9.4259 Å, c = 6.1425 Å, α = 90.00°, β = 99.65° and γ = 90.00°. The distinct sites, in fractional coordinates, are Ac at (0.1478, 0.2500, 0.1829), As at (0.3683, 0.7500, 0.3175), S at (0.1958, 0.5724, 0.1228), S at (0.2697, 0.2500, 0.6891) and S at (0.3336, 0.7500, 0.6650).

The value obtained for the raw formation energy is -914 meV/atom.

***

[16]
Compound: CaNd2Ni2
Source: the Alexandria database
Functional: PBE-GGA
Structure: relaxed

It has space group Cmmm (No. 65), with a = 4.1414 Å, b = 16.1570 Å, c = 3.8649 Å, α = 90.00°, β = 90.00° and γ = 90.00°. The distinct sites, in fractional coordinates, are Ca at (0.0000, 0.0000, 0.0000), Nd at (0.0000, 0.3427, 0.5000) and Ni at (0.0000, 0.2029, 0.0000).

As for the energy above the most stable polymorph in this dataset: 0.0000 eV per atom. For the formation enthalpy at 0 K, the calculation gives -0.25 eV/atom.

***

[17]
Compound: OsSe3O
Source: the Alexandria database
Functional: PBE-GGA
Structure: relaxed

It has space group Pm-3m (No. 221), with a = 4.3495 Å, b = 4.3495 Å, c = 4.3495 Å, α = 90.00°, β = 90.00° and γ = 90.00°. The distinct sites, in fractional coordinates, are Os at (0.0000, 0.0000, 0.0000), Se at (0.0000, 0.5000, 0.5000) and O at (0.5000, 0.5000, 0.5000).

The value obtained for the raw formation energy is 1097 meV/atom. As for the energy above the most stable polymorph in this dataset: 0.0000 eV per atom.

***

[18]
Compound: ScTaMo
Source: the Alexandria database
Functional: PBE-GGA
Structure: relaxed

It has space group Cm (No. 8), with a = 9.9922 Å, b = 4.6496 Å, c = 5.8096 Å, α = 90.00°, β = 125.26° and γ = 90.00°. The distinct sites, in fractional coordinates, are Sc at (0.0000, 0.0000, 0.0000), Sc at (0.1963, 0.5000, 0.0275), Ta at (0.1492, 0.5000, 0.4776), Ta at (0.3491, 0.0000, 0.5027), Mo at (0.0257, 0.0000, 0.5275) and Mo at (0.3300, 0.0000, 0.9719).

As for the energy above the most stable polymorph in this dataset: 0.0306 eV per atom. For the formation enthalpy at 0 K, the calculation gives 0.06 eV/atom.

***

[19]
Compound: YZnPt2
Source: the Alexandria database
Functional: PBE-GGA
Structure: relaxed

It has space group Pm (No. 6), with a = 3.6821 Å, b = 4.1887 Å, c = 5.3675 Å, α = 90.00°, β = 109.26° and γ = 90.00°. The distinct sites, in fractional coordinates, are Y at (0.0000, 0.0000, 0.0000), Zn at (0.7045, 0.5000, 0.4081), Pt at (0.2759, 0.0000, 0.5349) and Pt at (0.4402, 0.5000, 0.8745).

For the formation enthalpy at 0 K, the calculation gives -0.78 eV/atom.

***

[20]
Compound: NpB4Mo
Source: the Alexandria database
Functional: PBE-GGA
Structure: relaxed

It has space group Pmmm (No. 47), with a = 3.0631 Å, b = 3.6893 Å, c = 5.3844 Å, α = 90.00°, β = 90.00° and γ = 90.00°. The distinct sites, in fractional coordinates, are Np at (0.0000, 0.0000, 0.0000), B at (0.0000, 0.5000, 0.3393), B at (0.5000, 0.5000, 0.1789) and Mo at (0.5000, 0.0000, 0.5000).

For the formation enthalpy at 0 K, the calculation gives -0.34 eV/atom.

***

[21]
Compound: TbCeDyTh
Source: the Alexandria database
Functional: PBE-GGA
Structure: relaxed

It has space group F-43m (No. 216), with a = 7.9906 Å, b = 7.9906 Å, c = 7.9906 Å, α = 90.00°, β = 90.00° and γ = 90.00°. The distinct sites, in fractional coordinates, are Tb at (0.0000, 0.0000, 0.0000), Ce at (0.2500, 0.2500, 0.2500), Dy at (0.2500, 0.2500, 0.7500) and Th at (0.0000, 0.0000, 0.5000).

As for the energy above the most stable polymorph in this dataset: 0.2010 eV per atom. For the formation enthalpy at 0 K, the calculation gives 0.23 eV/atom.

***

[22]
Compound: GaCoIN2
Source: the Alexandria database
Functional: PBE-GGA
Structure: relaxed

It has space group P4/mmm (No. 123), with a = 3.7921 Å, b = 3.7921 Å, c = 6.5922 Å, α = 90.00°, β = 90.00° and γ = 90.00°. The distinct sites, in fractional coordinates, are Ga at (0.0000, 0.0000, 0.0000), Co at (0.5000, 0.5000, 0.5000), I at (0.0000, 0.0000, 0.5000) and N at (0.0000, 0.5000, 0.0000).

The value obtained for the raw formation energy is 1454 meV/atom. As for the energy above the most stable polymorph in this dataset: 0.2397 eV per atom.

***

[23]
Compound: SrBe2AsPd
Source: the Alexandria database
Functional: PBE-GGA
Structure: relaxed

It has space group P4/mmm (No. 123), with a = 5.1608 Å, b = 5.1608 Å, c = 5.1137 Å, α = 90.00°, β = 90.00° and γ = 90.00°. The distinct sites, in fractional coordinates, are Sr at (0.0000, 0.0000, 0.0000), Be at (0.0000, 0.5000, 0.0000), As at (0.5000, 0.5000, 0.5000) and Pd at (0.0000, 0.0000, 0.5000).

For the formation enthalpy at 0 K, the calculation gives 1.85 eV/atom.

***

[24]
Compound: Th4Sb3N4
Source: the Alexandria database
Functional: PBE-GGA
Structure: relaxed

It has space group Amm2 (No. 38), with a = 8.5717 Å, b = 4.0834 Å, c = 14.6421 Å, α = 90.00°, β = 90.00° and γ = 90.00°. The distinct sites, in fractional coordinates, are Th at (0.0000, 0.0000, 0.0000), Th at (0.2410, 0.0000, 0.6575), Th at (0.5000, 0.0000, 0.0136), Sb at (0.0000, 0.0000, 0.2962), Sb at (0.3177, 0.0000, 0.3518), N at (0.0000, 0.0000, 0.5757), N at (0.2458, 0.0000, 0.0790) and N at (0.5000, 0.0000, 0.5965).

The value obtained for the raw formation energy is -1395 meV/atom.

***

[25]
Compound: NaIrO
Source: the Alexandria database
Functional: PBE-GGA
Structure: relaxed

It has space group Pm (No. 6), with a = 2.8415 Å, b = 3.7351 Å, c = 7.5188 Å, α = 90.00°, β = 90.42° and γ = 90.00°. The distinct sites, in fractional coordinates, are Na at (0.0000, 0.0000, 0.0000), Na at (0.0126, 0.5000, 0.7231), Ir at (0.0036, 0.5000, 0.3055), Ir at (0.5067, 0.0000, 0.4632), O at (0.4996, 0.5000, 0.0979) and O at (0.5111, 0.0000, 0.7263).

The value obtained for the raw formation energy is -576 meV/atom. As for the energy above the most stable polymorph in this dataset: 0.1541 eV per atom.

***

[26]
Compound: BeTl2Pt
Source: the Alexandria database
Functional: PBE-GGA
Structure: relaxed

It has space group Cm (No. 8), with a = 6.7004 Å, b = 3.8909 Å, c = 7.1865 Å, α = 90.00°, β = 108.55° and γ = 90.00°. The distinct sites, in fractional coordinates, are Be at (0.0000, 0.0000, 0.0000), Tl at (0.0617, 0.5000, 0.6864), Tl at (0.2707, 0.5000, 0.3049) and Pt at (0.3324, 0.0000, 0.9958).

As for the energy above the most stable polymorph in this dataset: 0.0128 eV per atom. For the formation enthalpy at 0 K, the calculation gives -0.08 eV/atom.

***

[27]
Compound: Pm2Sn3Pd
Source: the Alexandria database
Functional: PBE-GGA
Structure: relaxed

It has space group Cm (No. 8), with a = 11.4398 Å, b = 4.6949 Å, c = 7.4344 Å, α = 90.00°, β = 130.03° and γ = 90.00°. The distinct sites, in fractional coordinates, are Pm at (0.0000, 0.0000, 0.0000), Pm at (0.1157, 0.0000, 0.6028), Sn at (0.2183, 0.5000, 0.4047), Sn at (0.3772, 0.0000, 0.1780), Sn at (0.4376, 0.0000, 0.6574) and Pd at (0.2338, 0.5000, 0.0465).

As for the energy above the most stable polymorph in this dataset: 0.0000 eV per atom. For the formation enthalpy at 0 K, the calculation gives -0.73 eV/atom.